The following is a DFT calculation (PBE) of NdTh2Sc6 after structural relaxation.

a = 7.0766 Å, b = 7.0766 Å, c = 5.7961 Å
α = 90.01°, β = 90.01°, γ = 60.00°
Fractional coordinates of all 9 atoms:
Nd (0.0000, 0.0000, 0.0000)
Th (0.3332, 0.3332, 0.1892)
Th (0.6668, 0.6668, 0.8108)
Sc (0.1895, 0.1895, 0.6782)
Sc (0.1897, 0.6198, 0.6768)
Sc (0.3802, 0.8103, 0.3232)
Sc (0.6198, 0.1897, 0.6768)
Sc (0.8103, 0.3802, 0.3232)
Sc (0.8105, 0.8105, 0.3218)

Properties
M_tot = 0.000 μB per formula unit
Calculated formation energy = 243 meV per atom
Symmetry = C2/m
E_tot = -6.16 eV per atom